Cs2Zr7CI18: optimized geometry, PBE.

Cell: 11.1072 11.1072 29.9164 Å, 90.00 90.00 120.00°
With the nearest neighbours (Å) after each atom.
Space group R-3 (No. 148, hexagonal axes)
Symmetry-distinct sites (fractional):
Cs (0.0000, 0.0000, 0.2248)  12 I 4.15-4.36
Zr (0.0000, 0.0000, 0.5000)  6 I 2.91
Zr (0.0458, 0.8587, 0.0439)  1 C 2.29
C (0.0000, 0.0000, 0.0000)  6 Zr 2.29
I (0.0245, 0.7990, 0.4441)  1 Zr 2.91
I (0.0447, 0.7876, 0.6668)  2 Zr 2.91-2.92
I (0.0565, 0.8234, 0.8896)  2 Zr 2.92-2.93

Computed properties:
- formation energy without anion corrections (meV/atom) = -1052
- DOS at the Fermi energy (states/eV/atom) = 0.2909
- DFT total energy (eV per formula unit) = -128.1



CsIn3C: optimized geometry, PBE.

Cell: 5.2549 5.2549 5.2549 Å, 90.00 90.00 90.00°
With the nearest neighbours (Å) after each atom.
Space group Pm-3m (No. 221)
Symmetry-distinct sites (fractional):
Cs (0.0000, 0.0000, 0.0000)  12 In 3.72
In (0.0000, 0.5000, 0.5000)  2 C 2.63
C (0.5000, 0.5000, 0.5000)  6 In 2.63

Computed properties:
- energy above the lowest structure with this stoichiometry (eV per atom) = 0.000
- energy relative to the elements (meV/atom) = 918
- DOS at the Fermi energy (states/eV/atom) = 0.8658
- DFT total energy (eV per formula unit) = -13.7



CsInC: optimized geometry, PBE.

Cell: 11.1615 6.4220 6.7743 Å, 90.00 90.00 90.00°
With the nearest neighbours (Å) after each atom.
Space group Pnma (No. 62)
Symmetry-distinct sites (fractional):
Cs (0.1537, 0.2500, 0.0130)  2 C 3.36-3.40
In (0.0000, 0.0000, 0.5000)  2 C 2.09
C (0.0625, 0.7500, 0.3323)  2 In 2.09

Computed properties:
- energy relative to the elements (meV/atom) = 924
- DOS at the Fermi energy (states/eV/atom) = 0.0004
- DFT total energy (eV per formula unit) = -10.0



CsInC: optimized geometry, PBE.

Cell: 8.1242 3.9746 11.3133 Å, 90.00 90.00 90.00°
With the nearest neighbours (Å) after each atom.
Space group Pnma (No. 62)
Symmetry-distinct sites (fractional):
Cs (0.0051, 0.2500, 0.1932)  4 C 3.59-3.64, 2 In 3.71-3.80, 2 Cs 3.97
In (0.1394, 0.7500, 0.4873)  2 C 2.21
C (0.1605, 0.2500, 0.5706)  2 In 2.21

Computed properties:
- energy relative to the elements (meV/atom) = 947
- DOS at the Fermi energy (states/eV/atom) = 0.5872
- DFT total energy (eV per formula unit) = -10.0



CsInC2: optimized geometry, PBE.

Cell: 5.1788 5.1788 14.2898 Å, 90.00 90.00 90.00°
With the nearest neighbours (Å) after each atom.
Space group I4_1/amd (No. 141, origin choice 2)
Symmetry-distinct sites (fractional):
Cs (0.0000, 0.2500, 0.3750)  8 C 3.40, 4 In 3.66
In (0.0000, 0.2500, 0.8750)  4 C 2.21
C (0.0000, 0.0000, 0.0000)  2 In 2.21

Computed properties:
- energy relative to the elements (meV/atom) = 1909
- DOS at the Fermi energy (states/eV/atom) = 0.6881
- DFT total energy (eV per formula unit) = -14.4



CsIn3C: optimized geometry, PBE.

Cell: 6.5440 6.5440 6.5440 Å, 90.00 90.00 90.00°
With the nearest neighbours (Å) after each atom.
Space group Pm-3m (No. 221)
Symmetry-distinct sites (fractional):
Cs (0.0000, 0.0000, 0.0000)  6 In 3.27
In (0.0000, 0.0000, 0.5000)  2 Cs 3.27
C (0.5000, 0.5000, 0.5000)  12 In 4.63

Computed properties:
- energy above the lowest structure with this stoichiometry (eV per atom) = 1.529
- energy relative to the elements (meV/atom) = 2447
- DOS at the Fermi energy (states/eV/atom) = 3.6308
- DFT total energy (eV per formula unit) = -6.1



CsInC: optimized geometry, PBE.

Cell: 5.2694 6.1085 7.9102 Å, 67.36 75.58 67.09°
With the nearest neighbours (Å) after each atom.
Space group P1 (No. 1)
Symmetry-distinct sites (fractional):
Cs (0.0000, 0.0000, 0.0000)  5 C 3.19-3.46
Cs (0.1610, 0.3146, 0.3381)  3 C 3.43-3.70
In (0.4253, 0.5310, 0.6738)  1 C 2.35
In (0.8029, 0.7943, 0.6613)  2 C 2.54-2.65
C (0.5456, 0.5454, 0.9357)  1 C 1.28
C (0.6779, 0.5994, 0.0206)  1 C 1.28

Computed properties:
- energy relative to the elements (meV/atom) = 325
- DOS at the Fermi energy (states/eV/atom) = 0.0000
- DFT total energy (eV per formula unit) = -11.8



Cs2InC: optimized geometry, PBE.

Cell: 8.7671 8.7671 8.7671 Å, 90.00 90.00 90.00°
With the nearest neighbours (Å) after each atom.
Space group Fm-3m (No. 225)
Symmetry-distinct sites (fractional):
Cs (0.2500, 0.2500, 0.2500)  4 C 3.80, 4 In 3.80
In (0.0000, 0.0000, 0.0000)  8 Cs 3.80
C (0.0000, 0.0000, 0.5000)  8 Cs 3.80

Computed properties:
- energy relative to the elements (meV/atom) = 1399
- DOS at the Fermi energy (states/eV/atom) = 0.8741
- DFT total energy (eV per formula unit) = -8.1



Cs2InC2O6: optimized geometry, PBE.

Cell: 12.6058 5.3256 7.3315 Å, 90.00 117.07 90.00°
With the nearest neighbours (Å) after each atom.
Space group C2/m (No. 12)
Symmetry-distinct sites (fractional):
Cs (0.1876, 0.0000, 0.1900)  7 O 3.08-3.25
In (0.0000, 0.0000, 0.5000)  4 O 2.31
C (0.0020, 0.5000, 0.2814)  3 O 1.27-1.32
O (0.0602, 0.2893, 0.7628)  1 C 1.32
O (0.1154, 0.5000, 0.3635)  1 C 1.27

Computed properties:
- formation energy without anion corrections (meV/atom) = -1501
- DOS at the Fermi energy (states/eV/atom) = 0.2796
- DFT total energy (eV per formula unit) = -69.2



Cs2InPtC: optimized geometry, PBE.

Cell: 6.8128 6.8128 3.8566 Å, 90.00 90.00 90.00°
With the nearest neighbours (Å) after each atom.
Space group P4/mmm (No. 123)
Symmetry-distinct sites (fractional):
Cs (0.0000, 0.5000, 0.0000)  2 C 3.41
In (0.0000, 0.0000, 0.5000)  2 In 3.86, 8 Cs 3.91
Pt (0.5000, 0.5000, 0.5000)  2 C 1.93
C (0.5000, 0.5000, 0.0000)  2 Pt 1.93

Computed properties:
- energy above the lowest structure with this stoichiometry (eV per atom) = 0.000
- energy relative to the elements (meV/atom) = 364
- DOS at the Fermi energy (states/eV/atom) = 0.7773
- DFT total energy (eV per formula unit) = -17.9



Cs2InPtC: optimized geometry, PBE.

Cell: 7.1462 7.1462 5.0409 Å, 90.00 90.00 90.00°
With the nearest neighbours (Å) after each atom.
Space group P4/mmm (No. 123)
Symmetry-distinct sites (fractional):
Cs (0.0000, 0.5000, 0.0000)  2 In 3.57
In (0.0000, 0.0000, 0.0000)  2 Pt 2.52
Pt (0.0000, 0.0000, 0.5000)  2 In 2.52
C (0.5000, 0.5000, 0.5000)  8 Cs 4.37

Computed properties:
- energy above the lowest structure with this stoichiometry (eV per atom) = 0.840
- energy relative to the elements (meV/atom) = 1203
- DOS at the Fermi energy (states/eV/atom) = 0.1696
- DFT total energy (eV per formula unit) = -13.7



CsTi2InC: optimized geometry, PBE.

Cell: 5.2415 5.2415 6.2529 Å, 90.00 90.00 90.00°
With the nearest neighbours (Å) after each atom.
Space group P4/mmm (No. 123)
Symmetry-distinct sites (fractional):
Cs (0.0000, 0.0000, 0.0000)  4 Ti 2.62
Ti (0.0000, 0.5000, 0.0000)  2 Cs 2.62
In (0.0000, 0.0000, 0.5000)  2 Cs 3.13
C (0.5000, 0.5000, 0.5000)  4 In 3.71, 8 Ti 4.08

Computed properties:
- energy relative to the elements (meV/atom) = 3265
- DOS at the Fermi energy (states/eV/atom) = 0.9656
- DFT total energy (eV per formula unit) = -12.3



Cs2TlInC: optimized geometry, PBE.

Cell: 7.0756 7.0756 4.0723 Å, 90.00 90.00 90.00°
With the nearest neighbours (Å) after each atom.
Space group P4/mmm (No. 123)
Symmetry-distinct sites (fractional):
Cs (0.0000, 0.5000, 0.0000)  2 C 3.54
Tl (0.0000, 0.0000, 0.5000)  2 Tl 4.07, 8 Cs 4.08
In (0.5000, 0.5000, 0.5000)  2 C 2.04
C (0.5000, 0.5000, 0.0000)  2 In 2.04

Computed properties:
- energy relative to the elements (meV/atom) = 716
- DOS at the Fermi energy (states/eV/atom) = 0.9170
- DFT total energy (eV per formula unit) = -12.5



CsIrC3: optimized geometry, PBE.

Cell: 4.3568 4.3568 4.3568 Å, 90.00 90.00 90.00°
With the nearest neighbours (Å) after each atom.
Space group Pm-3m (No. 221)
Symmetry-distinct sites (fractional):
Cs (0.0000, 0.0000, 0.0000)  6 C 2.18
Ir (0.5000, 0.5000, 0.5000)  12 C 3.08
C (0.0000, 0.0000, 0.5000)  2 Cs 2.18

Computed properties:
- energy above the lowest structure with this stoichiometry (eV per atom) = 2.641
- energy relative to the elements (meV/atom) = 4722
- DOS at the Fermi energy (states/eV/atom) = 0.6915
- DFT total energy (eV per formula unit) = -13.8



Cs2IrC: optimized geometry, PBE.

Cell: 12.2208 12.2208 3.8804 Å, 90.00 90.00 90.00°
With the nearest neighbours (Å) after each atom.
Space group I-42d (No. 122)
Symmetry-distinct sites (fractional):
Cs (0.0801, 0.2500, 0.1250)  2 C 3.24, 2 Ir 3.52
Ir (0.0000, 0.0000, 0.5000)  2 C 1.94
C (0.0000, 0.0000, 0.0000)  2 Ir 1.94

Computed properties:
- energy relative to the elements (meV/atom) = 427
- DOS at the Fermi energy (states/eV/atom) = 0.5112
- DFT total energy (eV per formula unit) = -18.1



CsIr2C: optimized geometry, PBE.

Cell: 6.3623 6.3623 8.9601 Å, 90.00 90.00 90.00°
With the nearest neighbours (Å) after each atom.
Space group I-42d (No. 122)
Symmetry-distinct sites (fractional):
Cs (0.0000, 0.0000, 0.0000)  12 Ir 3.72-3.74, 4 C 3.89, 4 Cs 3.89
Ir (0.0011, 0.2500, 0.6250)  2 C 1.95
C (0.0000, 0.0000, 0.5000)  4 Ir 1.95

Computed properties:
- energy relative to the elements (meV/atom) = 777
- DOS at the Fermi energy (states/eV/atom) = 0.3543
- DFT total energy (eV per formula unit) = -24.7



CsIrC3: optimized geometry, PBE.

Cell: 4.1588 4.1588 4.1588 Å, 90.00 90.00 90.00°
With the nearest neighbours (Å) after each atom.
Space group Pm-3m (No. 221)
Symmetry-distinct sites (fractional):
Cs (0.0000, 0.0000, 0.0000)  12 C 2.94
Ir (0.5000, 0.5000, 0.5000)  6 C 2.08
C (0.0000, 0.5000, 0.5000)  2 Ir 2.08

Computed properties:
- energy above the lowest structure with this stoichiometry (eV per atom) = 0.000
- energy relative to the elements (meV/atom) = 2081
- DOS at the Fermi energy (states/eV/atom) = 0.5782
- DFT total energy (eV per formula unit) = -27.0



Cs2LiIrC6N6: optimized geometry, PBE.

Cell: 10.8631 10.8631 10.8631 Å, 90.00 90.00 90.00°
With the nearest neighbours (Å) after each atom.
Space group Fm-3m (No. 225)
Symmetry-distinct sites (fractional):
Cs (0.2500, 0.2500, 0.2500)  12 N 3.87, 12 C 3.90
Li (0.0000, 0.0000, 0.0000)  6 N 2.24
Ir (0.0000, 0.0000, 0.5000)  6 C 2.02
C (0.0000, 0.0000, 0.3140)  1 N 1.17
N (0.0000, 0.0000, 0.2059)  1 C 1.17

Computed properties:
- formation energy without anion corrections (meV/atom) = -241
- DOS at the Fermi energy (states/eV/atom) = 0.0000
- DFT total energy (eV per formula unit) = -121.6



Cs2MgIrC: optimized geometry, PBE.

Cell: 6.1985 6.1985 5.0526 Å, 90.00 90.00 90.00°
With the nearest neighbours (Å) after each atom.
Space group P4/mmm (No. 123)
Symmetry-distinct sites (fractional):
Cs (0.0000, 0.5000, 0.0000)  2 Ir 3.10
Mg (0.0000, 0.0000, 0.5000)  2 Ir 2.53
Ir (0.0000, 0.0000, 0.0000)  2 Mg 2.53
C (0.5000, 0.5000, 0.5000)  8 Cs 4.00, 4 Mg 4.38

Computed properties:
- energy relative to the elements (meV/atom) = 1530
- DOS at the Fermi energy (states/eV/atom) = 0.5047
- DFT total energy (eV per formula unit) = -13.7



CsMgIr2C: optimized geometry, PBE.

Cell: 4.7273 4.7273 6.7305 Å, 90.00 90.00 90.00°
With the nearest neighbours (Å) after each atom.
Space group P4/mmm (No. 123)
Symmetry-distinct sites (fractional):
Cs (0.0000, 0.0000, 0.0000)  4 C 3.34, 2 Mg 3.37
Mg (0.0000, 0.0000, 0.5000)  4 Ir 2.36
Ir (0.0000, 0.5000, 0.5000)  2 Mg 2.36
C (0.5000, 0.5000, 0.0000)  4 Cs 3.34

Computed properties:
- energy relative to the elements (meV/atom) = 2607
- DOS at the Fermi energy (states/eV/atom) = 2.3879
- DFT total energy (eV per formula unit) = -16.4



Cs2NaIrC: optimized geometry, PBE.

Cell: 7.0947 7.0947 3.8709 Å, 90.00 90.00 90.00°
With the nearest neighbours (Å) after each atom.
Space group P4/mmm (No. 123)
Symmetry-distinct sites (fractional):
Cs (0.0000, 0.5000, 0.0000)  2 Ir 3.55, 2 Cs 3.87
Na (0.0000, 0.0000, 0.5000)  2 Na 3.87, 8 Cs 4.04
Ir (0.5000, 0.5000, 0.0000)  2 C 1.94
C (0.5000, 0.5000, 0.5000)  2 Ir 1.94

Computed properties:
- energy relative to the elements (meV/atom) = 579
- DOS at the Fermi energy (states/eV/atom) = 0.5490
- DFT total energy (eV per formula unit) = -18.2



Cs2VIrC: optimized geometry, PBE.

Cell: 6.9052 6.9052 4.5258 Å, 90.00 90.00 90.00°
With the nearest neighbours (Å) after each atom.
Space group P4/mmm (No. 123)
Symmetry-distinct sites (fractional):
Cs (0.0000, 0.5000, 0.0000)  2 V 3.45
V (0.0000, 0.0000, 0.0000)  2 Ir 2.26
Ir (0.0000, 0.0000, 0.5000)  2 V 2.26
C (0.5000, 0.5000, 0.5000)  8 Cs 4.13, 2 C 4.53

Computed properties:
- energy relative to the elements (meV/atom) = 1887
- DOS at the Fermi energy (states/eV/atom) = 0.9404
- DFT total energy (eV per formula unit) = -19.5



CsKC2: optimized geometry, PBE.

Cell: 8.3323 5.9561 9.0859 Å, 90.00 90.00 90.00°
With the nearest neighbours (Å) after each atom.
Space group Pnma (No. 62)
Symmetry-distinct sites (fractional):
Cs (0.0243, 0.2500, 0.1756)  6 C 3.37-3.50
K (0.1365, 0.2500, 0.5896)  6 C 3.02-3.08
C (0.2223, 0.6434, 0.3950)  1 C 1.27

Computed properties:
- energy relative to the elements (meV/atom) = 273
- DOS at the Fermi energy (states/eV/atom) = 0.0000
- DFT total energy (eV per formula unit) = -19.3



CsKC3: optimized geometry, PBE.

Cell: 5.6651 5.6651 5.6651 Å, 90.00 90.00 90.00°
With the nearest neighbours (Å) after each atom.
Space group Pm-3m (No. 221)
Symmetry-distinct sites (fractional):
Cs (0.0000, 0.0000, 0.0000)  12 C 4.01
K (0.5000, 0.5000, 0.5000)  6 C 2.83
C (0.0000, 0.5000, 0.5000)  2 K 2.83

Computed properties:
- energy above the lowest structure with this stoichiometry (eV per atom) = 0.000
- energy relative to the elements (meV/atom) = 3311
- DOS at the Fermi energy (states/eV/atom) = 1.5738
- DFT total energy (eV per formula unit) = -13.1



CsK3C: optimized geometry, PBE.

Cell: 7.8262 7.8262 7.8262 Å, 90.00 90.00 90.00°
With the nearest neighbours (Å) after each atom.
Space group Pm-3m (No. 221)
Symmetry-distinct sites (fractional):
Cs (0.0000, 0.0000, 0.0000)  6 K 3.91
K (0.0000, 0.0000, 0.5000)  2 Cs 3.91
C (0.5000, 0.5000, 0.5000)  12 K 5.53

Computed properties:
- energy above the lowest structure with this stoichiometry (eV per atom) = 0.994
- energy relative to the elements (meV/atom) = 1904
- DOS at the Fermi energy (states/eV/atom) = 4.1641
- DFT total energy (eV per formula unit) = -3.8